Entry from Alexandria via LeMat-Bulk: La2Si4GeRh3 after structural relaxation (GGA-PBE).

Cell: 4.2863 4.2863 9.8878 Å, 90.00 90.00 90.00°
Space group P-4m2 (No. 115)
Asymmetric unit:
La (0.0000, 0.5000, 0.2441) x2
Si (0.0000, 0.0000, 0.0000) x1
Si (0.0000, 0.5000, 0.6393) x2
Si (0.5000, 0.5000, 0.0000) x1
Ge (0.0000, 0.0000, 0.5000) x1
Rh (0.0000, 0.5000, 0.8807) x2
Rh (0.5000, 0.5000, 0.5000) x1

Calculated values
Formation energy from raw total energies ... -0.879 eV/atom

Entry from Alexandria via LeMat-Bulk: BaCr3Ni after structural relaxation (GGA-PBE).

Cell: 4.6365 4.6365 4.6365 Å, 90.00 90.00 90.00°
Space group Pm-3m (No. 221)
Asymmetric unit:
Ba (0.0000, 0.0000, 0.0000) x1
Cr (0.0000, 0.0000, 0.5000) x3
Ni (0.5000, 0.5000, 0.5000) x1

Calculated values
Formation energy from the elements ... 3093 meV/atom
Energy above the most stable polymorph in this dataset ... 2.153 eV/atom

Entry from Alexandria via LeMat-Bulk: LaCdB after structural relaxation (GGA-PBE).

Cell: 6.4332 6.4332 6.4332 Å, 90.00 90.00 90.00°
Space group F-43m (No. 216)
Asymmetric unit:
La (0.0000, 0.0000, 0.0000) x4
Cd (0.0000, 0.0000, 0.5000) x4
B (0.2500, 0.2500, 0.2500) x4

Calculated values
Formation energy from the elements ... 41 meV/atom
Energy above the most stable polymorph in this dataset ... 0.390 eV/atom

Entry from Alexandria via LeMat-Bulk: BeZnNi2H after structural relaxation (GGA-PBE).

Cell: 3.5999 3.5999 3.4789 Å, 90.00 90.00 90.00°
Space group P4/mmm (No. 123)
Asymmetric unit:
Be (0.0000, 0.0000, 0.0000) x1
Zn (0.5000, 0.5000, 0.0000) x1
Ni (0.0000, 0.5000, 0.5000) x2
H (0.0000, 0.0000, 0.5000) x1

Calculated values
VASP energy ... -4.1473 eV per atom

It is found that the spin magnetization values, taken in the order of the records, are 0.00 0.07 0.00 0.00 μB/atom.